1.
Computed, not measured: a relaxed AcBi3Pd3 crystal at the GGA-PBE level of DFT.

Results
* E_tot: -68.38 eV per cell
* excess energy over the best structure of this formula in the dataset: 1.03 eV per formula unit
* SG: R-3 (148)

```
14
Lattice="9.102 0.000 0.000 4.551 7.882 0.000 4.551 2.627 5.278" Properties=species:S:1:pos:R:3 pbc="T T T"
Ac 9.102 5.255 4.784
Ac 9.102 5.255 0.494
Bi 10.465 8.618 3.924
Bi 11.333 2.392 3.924
Bi 5.507 4.754 3.924
Bi 12.696 5.755 1.354
Bi 6.871 8.118 1.354
Bi 7.738 1.891 1.354
Pd 6.253 4.395 1.243
Pd 11.271 3.218 1.243
Pd 9.781 8.152 1.243
Pd 8.422 2.357 4.035
Pd 6.932 7.292 4.035
Pd 11.951 6.115 4.035
```

***

2.
Computed, not measured: a relaxed Ac3Bi4Pd4 crystal at the GGA-PBE level of DFT.

Results
* E_tot: -56.53 eV per cell
* SG: P-1 (2)

```
11
Lattice="4.500 0.000 0.003 0.000 4.770 -0.001 2.241 2.359 14.439" Properties=species:S:1:pos:R:3 pbc="T T T"
Ac 2.242 4.758 10.321
Ac 4.499 2.370 4.121
Ac 0.000 0.000 0.000
Bi 4.490 2.375 11.697
Bi 2.248 2.372 7.188
Bi 4.493 4.756 7.253
Bi 2.251 4.754 2.744
Pd 4.499 4.760 13.082
Pd 2.242 2.368 1.360
Pd 2.244 4.757 5.475
Pd 4.497 2.371 8.966
```

***

3.
Computed, not measured: a relaxed AcBiPd3 crystal at the GGA-PBE level of DFT.

Results
* E_tot: -52.72 eV per cell
* SG: Imma (74)

```
10
Lattice="5.654 0.000 0.000 0.000 9.225 0.000 -2.827 -4.612 4.623" Properties=species:S:1:pos:R:3 pbc="T T T"
Ac 0.000 0.261 2.311
Ac 2.827 4.351 2.311
Bi 0.000 4.612 0.000
Bi 2.827 0.000 0.000
Pd 4.240 2.306 0.112
Pd 1.413 2.306 0.112
Pd 1.413 2.306 4.511
Pd -1.413 2.306 4.511
Pd 0.000 6.277 2.311
Pd 2.827 -1.665 2.311
```

***

4.
Computed, not measured: a relaxed AcBiPd2 crystal at the GGA-PBE level of DFT.

Results
* E_tot: -84.74 eV per cell
* SG: Pnma (62)

```
16
Lattice="4.939 0.000 0.000 0.000 7.116 0.000 0.000 0.000 11.203" Properties=species:S:1:pos:R:3 pbc="T T T"
Ac 3.705 5.023 7.213
Ac 1.235 5.651 1.611
Ac 1.235 2.093 3.991
Ac 3.705 1.465 9.592
Bi 3.705 6.686 4.081
Bi 1.235 3.989 9.682
Bi 1.235 0.431 7.123
Bi 3.705 3.128 1.521
Pd 3.705 1.728 6.242
Pd 1.235 1.831 0.640
Pd 1.235 5.389 4.962
Pd 3.705 5.286 10.563
Pd 3.705 3.923 4.236
Pd 1.235 6.751 9.838
Pd 1.235 3.193 6.967
Pd 3.705 0.365 1.365
```

***

5.
Computed, not measured: a relaxed Ac2Bi3Pd2 crystal at the GGA-PBE level of DFT.

Results
* E_tot: -34.96 eV per cell
* SG: C2/m (12)

```
7
Lattice="4.626 0.000 0.000 -2.313 5.684 0.001 0.000 -2.617 7.637" Properties=species:S:1:pos:R:3 pbc="T T T"
Ac 2.313 3.521 1.557
Ac 0.000 -0.454 6.081
Bi 2.313 0.000 0.000
Bi 2.313 0.218 3.427
Bi 0.000 2.849 4.211
Pd 2.313 1.851 5.841
Pd 0.000 1.216 1.798
```

***

6.
Computed, not measured: a relaxed AcBiPd4 crystal at the GGA-PBE level of DFT.

Results
* E_tot: -64.39 eV per cell
* excess energy over the best structure of this formula in the dataset: 0.00 eV per formula unit
* SG: Cmcm (63)

```
12
Lattice="-0.275 -4.157 -1.233 -0.168 -1.745 5.922 -9.372 2.730 0.539" Properties=species:S:1:pos:R:3 pbc="T T T"
Ac -1.675 -0.324 1.467
Ac -8.140 -2.847 3.761
Bi -4.526 -1.007 4.405
Bi -5.289 -2.164 0.822
Pd -0.221 -2.951 2.344
Pd -0.137 -2.078 -0.616
Pd -3.203 -3.571 5.099
Pd -6.613 0.399 0.129
Pd -6.686 -0.366 2.724
Pd -3.129 -2.806 2.504
Pd -1.539 -1.212 4.430
Pd -8.276 -1.960 0.798
```

***

7.
Computed, not measured: a relaxed Ac2BiPd6 crystal at the GGA-PBE level of DFT.

Results
* E_tot: -49.31 eV per cell
* excess energy over the best structure of this formula in the dataset: 0.00 eV per formula unit
* SG: C2/m (12)

```
9
Lattice="-1.768 -0.748 5.911 5.148 -2.971 1.159 4.902 3.039 1.846" Properties=species:S:1:pos:R:3 pbc="T T T"
Ac 5.276 -0.556 6.755
Ac 3.006 -0.124 2.162
Bi 0.000 0.000 0.000
Pd 5.285 1.185 3.876
Pd 7.666 -0.189 4.403
Pd 5.399 -1.597 3.558
Pd 2.997 -1.865 5.041
Pd 0.616 -0.491 4.514
Pd 2.883 0.917 5.359
```

***

8.
Computed, not measured: a relaxed AcPmBiPd crystal at the GGA-PBE level of DFT.

Results
* E_tot: -20.41 eV per cell
* SG: F-43m (216)

```
4
Lattice="5.526 0.000 0.000 2.763 4.786 0.000 2.763 1.595 4.512" Properties=species:S:1:pos:R:3 pbc="T T T"
Ac 8.289 4.786 3.384
Bi 5.526 3.191 2.256
Pd 0.000 0.000 0.000
Pm 2.763 1.595 1.128
```

***

Number 1: D(E_F) 3.1 states/eV/f.u., total magnetization 0.0 μB/f.u.. Number 2: D(E_F) 6.2 states/eV/f.u., total magnetization 0.0 μB/f.u.. Number 3: D(E_F) 3.2 states/eV/f.u., total magnetization 0.0 μB/f.u.. Number 4: D(E_F) 3.1 states/eV/f.u., total magnetization 0.0 μB/f.u.. Number 5: D(E_F) 3.0 states/eV/f.u., total magnetization 0.0 μB/f.u.. Number 6: D(E_F) 2.3 states/eV/f.u., total magnetization 0.0 μB/f.u.. Number 7: D(E_F) 6.3 states/eV/f.u., total magnetization 0.0 μB/f.u.. Number 8: D(E_F) 3.2 states/eV/f.u., total magnetization 0.9 μB/f.u..